1.
An optimized crystal structure of SnPPtO. Source: Alexandria via LeMat-Bulk, functional PBE-GGA.

Summary:
- N(E_F) (states/eV per atom) = 0.265
- electronic total energy (eV/f.u.) = -22.70
- E_form (uncorrected) (eV per atom) = -0.572
- E above lowest polymorph (meV per atom) = 240

Unit cell a=3.560 b=3.882 c=6.155 alpha=99.24 beta=90.07 gamma=117.56
Fractional positions:
Sn (0.028, 0.677, 0.219)
P (0.955, 0.527, 0.776)
Pt (0.246, 0.113, 0.639)
O (0.355, 0.332, 0.243)

=====

2.
An optimized crystal structure of Li2Y3Hg4. Source: Alexandria via LeMat-Bulk, functional PBE-GGA.

Summary:
- N(E_F) (states/eV per atom) = 0.797
- electronic total energy (eV/f.u.) = -27.88
- energy of formation (kJ/mol of atoms) = -37.04

Unit cell a=4.825 b=5.879 c=8.558 alpha=75.68 beta=73.62 gamma=65.77
Fractional positions:
Li (0.353, 0.977, 0.318)
Li (0.647, 0.023, 0.682)
Y (0.347, 0.623, 0.683)
Y (0.000, 0.000, 0.000)
Y (0.653, 0.377, 0.317)
Hg (0.282, 0.363, 0.073)
Hg (0.718, 0.637, 0.927)
Hg (0.074, 0.243, 0.608)
Hg (0.926, 0.757, 0.392)

=====

3.
An optimized crystal structure of Tc2P3. Source: Alexandria via LeMat-Bulk, functional PBE-GGA.

Summary:
- N(E_F) (states/eV per atom) = 0.251
- electronic total energy (eV/f.u.) = -39.66
- E above lowest polymorph (meV per atom) = 0
- energy of formation (kJ/mol of atoms) = -51.98

Unit cell a=6.320 b=6.364 c=7.721 alpha=95.79 beta=101.71 gamma=104.37
Fractional positions:
P (0.538, 0.184, 0.964)
P (0.462, 0.816, 0.036)
P (0.033, 0.178, 0.957)
P (0.967, 0.822, 0.043)
P (0.630, 0.849, 0.678)
P (0.370, 0.151, 0.322)
P (0.139, 0.866, 0.682)
P (0.861, 0.134, 0.318)
P (0.765, 0.438, 0.618)
P (0.235, 0.562, 0.382)
P (0.265, 0.423, 0.639)
P (0.735, 0.577, 0.361)
Tc (0.922, 0.131, 0.631)
Tc (0.078, 0.869, 0.369)
Tc (0.464, 0.139, 0.638)
Tc (0.536, 0.861, 0.362)
Tc (0.623, 0.584, 0.860)
Tc (0.377, 0.416, 0.140)
Tc (0.096, 0.585, 0.854)
Tc (0.904, 0.415, 0.146)

=====

4.
An optimized crystal structure of BaLiCa14. Source: Alexandria via LeMat-Bulk, functional PBE-GGA.

Summary:
- N(E_F) (states/eV per atom) = 1.213
- electronic total energy (eV/f.u.) = -31.28
- energy of formation (kJ/mol of atoms) = 3.51

Unit cell a=7.918 b=7.918 c=10.759 alpha=90.00 beta=90.00 gamma=89.99
Fractional positions:
Ba (0.875, 0.875, 0.500)
Li (0.375, 0.375, 0.500)
Ca (0.875, 0.875, 0.000)
Ca (0.375, 0.375, 0.000)
Ca (0.875, 0.375, 0.500)
Ca (0.875, 0.375, 0.000)
Ca (0.375, 0.875, 0.500)
Ca (0.375, 0.875, 0.000)
Ca (0.619, 0.131, 0.249)
Ca (0.619, 0.131, 0.751)
Ca (0.131, 0.619, 0.249)
Ca (0.131, 0.619, 0.751)
Ca (0.619, 0.619, 0.249)
Ca (0.619, 0.619, 0.751)
Ca (0.131, 0.131, 0.249)
Ca (0.131, 0.131, 0.751)